VASP calculation (PBE) on crystalline CrW5 at its relaxed geometry.

Its calculated formation energy is 785 meV per atom. The calculation puts the total energy at -11.6133 eV per atom. As for the relative energy among the computed polymorphs: 0.744 eV per atom. The value obtained for the total magnetization is 0.507 μB per atom.

It has space group P6/mmm (No. 191), with a = 5.3095 Å, b = 5.3095 Å, c = 4.4785 Å, α = 90.00°, β = 90.00° and γ = 120.00°. Symmetry generates all atoms from Cr at (0.0000, 0.0000, 0.0000), W at (0.0000, 0.5000, 0.5000) and W at (0.3333, 0.6667, 0.0000).

***

VASP calculation (PBE) on crystalline CrW7 at its relaxed geometry.

Its calculated formation energy is 494 meV per atom. The calculation puts the total energy at -12.0427 eV per atom. As for the relative energy among the computed polymorphs: 0.460 eV per atom. The value obtained for the total magnetization is 0.230 μB per atom.

It has space group Fm-3m (No. 225), with a = 8.017 Å, b = 8.017 Å, c = 8.017 Å, α = 90.00°, β = 90.00° and γ = 90.00°. Symmetry generates all atoms from Cr at (0.000, 0.000, 0.000), W at (0.000, 0.000, 0.500) and W at (0.000, 0.250, 0.250).

***

VASP calculation (PBE) on crystalline Cr4W at its relaxed geometry.

Its calculated formation energy is 1782 meV per atom. The calculation puts the total energy at -8.5076 eV per atom. As for the relative energy among the computed polymorphs: 1.730 eV per atom. The value obtained for the total magnetization is 2.511 μB per atom.

It has space group Pm-3m (No. 221), with a = 4.691 Å, b = 4.691 Å, c = 4.691 Å, α = 90.00°, β = 90.00° and γ = 90.00°. Symmetry generates all atoms from Cr at (0.000, 0.000, 0.000), Cr at (0.000, 0.500, 0.500) and W at (0.500, 0.500, 0.500).

***

VASP calculation (PBE) on crystalline CrW3 at its relaxed geometry.

Its calculated formation energy is 2467 meV per atom. The calculation puts the total energy at -9.6536 eV per atom. The value obtained for the total magnetization is 0.000 μB per atom.

It has space group Pm-3m (No. 221), with a = 4.512 Å, b = 4.512 Å, c = 4.512 Å, α = 90.00°, β = 90.00° and γ = 90.00°. Symmetry generates all atoms from Cr at (0.000, 0.000, 0.000) and W at (0.000, 0.000, 0.500).

***

> What is the calculated formation energy in the first record?

785 meV per atom

***

> Number 2 is which compound?

CrW7

***

> Which value of calculated formation energy does entry 2 give?

494 meV per atom

***

> What is the calculated formation energy in the first record?

785 meV per atom